Entry 1:
VASP calculation (PBE) on an optimized crystal structure of Ba2LiMg12Tl3.

Geometry as POSCAR:
```
Ba2LiMg12Tl3
1.0
3.7424 2.1607 11.2282
-3.7424 2.1607 11.2282
0.0000 -4.3214 11.2282
Ba Li Mg Tl
2 1 12 3
Cartesian
0.0000 0.0000 4.9256
0.0000 0.0000 28.7590
0.0000 0.0000 16.8423
0.0000 -2.6130 9.6079
-2.2629 1.3065 9.6079
-1.6237 -0.9375 14.5351
-2.2629 -1.3065 24.0767
0.0000 -1.8749 19.1495
-1.6237 0.9375 19.1495
1.6237 -0.9375 14.5351
0.0000 1.8749 14.5351
2.2629 1.3065 9.6079
1.6238 0.9375 19.1495
2.2629 -1.3065 24.0767
0.0000 2.6130 24.0767
-1.8712 -1.0803 11.2282
-1.8712 1.0803 22.4564
0.0000 2.1607 11.2282
```

The calculation puts the total energy at -1.688 eV per atom.

=====

Entry 2:
VASP calculation (PBE) on an optimized crystal structure of BaLiTmMg.

Geometry as POSCAR:
```
BaLiTmMg
1.0
0.0000 4.0382 4.0382
4.0382 0.0000 4.0382
4.0382 4.0382 0.0000
Ba Li Tm Mg
1 1 1 1
Cartesian
0.0000 0.0000 0.0000
2.0191 2.0191 2.0191
4.0382 4.0382 4.0382
6.0573 6.0573 6.0573
```

The calculation puts the total energy at -2.328 eV per atom.

=====

Entry 3:
VASP calculation (PBE) on an optimized crystal structure of BaLiYMg.

Geometry as POSCAR:
```
BaLiYMg
1.0
0.0000 4.0666 4.0666
4.0666 0.0000 4.0666
4.0666 4.0666 0.0000
Ba Li Y Mg
1 1 1 1
Cartesian
0.0000 0.0000 0.0000
6.1000 6.1000 6.1000
4.0666 4.0666 4.0666
2.0333 2.0333 2.0333
```

The calculation puts the total energy at -2.853 eV per atom.

=====

Entry 4:
VASP calculation (PBE) on an optimized crystal structure of Ba2LiMgZn6.

Geometry as POSCAR:
```
Ba2LiMgZn6
1.0
5.0822 0.0000 0.0000
2.4784 6.8441 0.0000
2.5373 -0.4081 7.1644
Ba Li Mg Zn
2 1 1 6
Cartesian
1.2535 1.2196 1.2795
8.8444 5.2163 5.8849
3.7803 3.4220 0.0000
3.8098 -0.2041 3.5822
2.5139 4.7832 1.9410
3.7784 2.8151 3.1878
5.0655 1.6514 5.2299
5.0324 4.7845 1.9345
6.3195 3.6208 3.9766
7.5840 1.6527 5.2234
```

The calculation puts the total energy at -1.646 eV per atom.

=====

Entry 5:
VASP calculation (PBE) on an optimized crystal structure of BaLi2MgZn.

Geometry as POSCAR:
```
BaLi2MgZn
1.0
5.2485 0.0000 0.0000
0.0000 5.2485 0.0000
0.0000 0.0000 5.1739
Ba Li Mg Zn
1 2 1 1
Cartesian
0.0000 0.0000 0.0000
0.0000 2.6243 2.5870
2.6243 0.0000 2.5870
2.6243 2.6243 0.0000
2.6243 2.6243 2.5870
```

The calculation puts the total energy at -1.723 eV per atom.

=====

Entry 6:
VASP calculation (PBE) on an optimized crystal structure of Ba2LiMgZn.

Geometry as POSCAR:
```
Ba2LiMgZn
1.0
6.4463 0.0000 0.0000
0.0000 6.4463 0.0000
0.0000 0.0000 5.1612
Ba Li Mg Zn
2 1 1 1
Cartesian
0.0000 3.2231 0.0000
3.2231 0.0000 0.0000
0.0000 0.0000 2.5806
3.2231 3.2231 2.5806
3.2231 3.2231 0.0000
```

The calculation puts the total energy at -1.658 eV per atom.

=====

Entry 7:
VASP calculation (PBE) on an optimized crystal structure of BaLiMg2Zn4.

Geometry as POSCAR:
```
BaLiMg2Zn4
1.0
2.3006 1.3283 9.7775
-2.3006 1.3283 9.7775
0.0000 -2.6565 9.7775
Ba Li Mg Zn
1 1 2 4
Cartesian
0.0000 0.0000 0.0000
0.0000 0.0000 14.6663
0.0000 0.0000 6.7980
0.0000 0.0000 22.5346
0.0000 0.0000 3.9588
0.0000 0.0000 12.0003
0.0000 0.0000 17.3322
0.0000 0.0000 25.3737
```

The calculation puts the total energy at -1.629 eV per atom.

=====

Entry 8:
VASP calculation (PBE) on an optimized crystal structure of Ba2LiMgZn2.

Geometry as POSCAR:
```
Ba2LiMgZn2
1.0
-3.1680 9.4045 3.2389
3.1680 -9.4045 3.2389
3.1680 9.4045 -3.2389
Ba Li Mg Zn
4 2 2 4
Cartesian
1.5770 3.0795 0.0000
1.5770 -3.0795 3.2389
1.5910 12.4839 0.0000
1.5910 6.3250 3.2389
0.0000 0.0000 1.6194
0.0000 0.0000 4.8583
3.1680 0.0000 1.6194
0.0000 9.4045 1.6194
4.7341 1.7814 0.0000
1.5661 7.6230 0.0000
1.6019 1.7814 3.2389
-1.5661 7.6230 3.2389
```

The calculation puts the total energy at -1.772 eV per atom.

=====

Entry 9:
VASP calculation (PBE) on an optimized crystal structure of Ba2LiMg6Zn.

Geometry as POSCAR:
```
Ba2LiMg6Zn
1.0
-3.7280 3.7595 5.2571
3.7280 -3.7595 5.2571
3.7280 3.7595 -5.2571
Ba Li Mg Zn
2 1 6 1
Cartesian
0.0000 0.0000 2.2142
0.0000 0.0000 8.2999
0.0000 3.7595 0.0000
3.7280 0.0000 2.6396
2.1602 2.1812 0.0000
1.5678 -1.5782 5.2571
2.1602 5.3377 0.0000
1.5678 1.5782 5.2571
0.0000 3.7595 2.6175
3.7280 0.0000 0.0000
```

The calculation puts the total energy at -1.661 eV per atom.

=====

Entry 10:
VASP calculation (PBE) on an optimized crystal structure of BaLiMgZn.

Geometry as POSCAR:
```
BaLiMgZn
1.0
0.0000 3.8160 3.8160
3.8160 0.0000 3.8160
3.8160 3.8160 0.0000
Ba Li Mg Zn
1 1 1 1
Cartesian
0.0000 0.0000 0.0000
5.7239 5.7239 5.7239
3.8160 3.8160 3.8160
1.9080 1.9080 1.9080
```

The calculation puts the total energy at -1.704 eV per atom.

=====

Entry 11:
VASP calculation (PBE) on an optimized crystal structure of BaLiMgZn2.

Geometry as POSCAR:
```
BaLiMgZn2
1.0
-2.2944 2.2944 6.1851
2.2944 -2.2944 6.1851
2.2944 2.2944 -6.1851
Ba Li Mg Zn
1 1 1 2
Cartesian
0.0000 0.0000 0.0000
2.2944 0.0000 3.0925
0.0000 2.2944 3.0925
0.0000 0.0000 4.8003
0.0000 0.0000 7.5699
```

The calculation puts the total energy at -1.717 eV per atom.

=====

Entry 12:
VASP calculation (PBE) on an optimized crystal structure of Ba2Li3Mg12Zn.

Geometry as POSCAR:
```
Ba2Li3Mg12Zn
1.0
3.5976 2.0771 11.3827
-3.5976 2.0771 11.3827
0.0000 -4.1541 11.3827
Ba Li Mg Zn
2 3 12 1
Cartesian
0.0000 0.0000 4.9140
0.0000 0.0000 29.2342
-1.7988 -1.0385 11.3827
-1.7988 1.0385 22.7655
0.0000 2.0771 11.3827
0.0000 -2.4514 9.8062
-2.1229 1.2257 9.8062
-1.6182 -0.9343 14.8523
-2.1229 -1.2257 24.3420
0.0000 -1.8685 19.2959
-1.6182 0.9343 19.2959
1.6182 -0.9343 14.8523
0.0000 1.8685 14.8523
2.1229 1.2257 9.8062
1.6182 0.9343 19.2959
2.1229 -1.2257 24.3421
0.0000 2.4514 24.3421
0.0000 0.0000 17.0741
```

The calculation puts the total energy at -1.529 eV per atom.

=====

Entry 13:
VASP calculation (PBE) on an optimized crystal structure of BaLiMgZn.

Geometry as POSCAR:
```
BaLiMgZn
1.0
4.2304 -2.4457 0.0000
4.2304 2.4457 0.0000
-2.8280 0.0000 5.7579
Ba Li Mg Zn
1 1 1 1
Cartesian
0.0000 0.0000 0.0000
5.6376 0.0000 2.4254
2.8149 0.0000 3.0324
-0.0069 0.0000 3.3948
```

The calculation puts the total energy at -1.773 eV per atom.

=====

Entry 14:
VASP calculation (PBE) on an optimized crystal structure of Ba2LiMgZn.

Geometry as POSCAR:
```
Ba2LiMgZn
1.0
6.4377 0.0000 0.0000
0.0000 6.4377 0.0000
0.0000 0.0000 4.9404
Ba Li Mg Zn
2 1 1 1
Cartesian
0.0000 3.2188 0.0000
3.2188 0.0000 0.0000
0.0000 0.0000 2.4702
3.2188 3.2188 2.4702
0.0000 0.0000 0.0000
```

The calculation puts the total energy at -1.661 eV per atom.

=====

Entry 15:
VASP calculation (PBE) on an optimized crystal structure of BaLiMn.

Geometry as POSCAR:
```
BaLiMn
1.0
5.1290 0.0000 0.0000
-2.5645 4.4418 0.0000
0.0000 0.0000 4.1443
Ba Li Mn
1 1 1
Cartesian
0.0000 0.0000 0.0000
2.5645 1.4806 2.0722
0.0000 2.9612 2.0722
```

The calculation puts the total energy at -3.834 eV per atom.

=====

Entry 16:
VASP calculation (PBE) on an optimized crystal structure of Ba4LiMn.

Geometry as POSCAR:
```
Ba4LiMn
1.0
0.0000 5.3274 5.3274
5.3274 0.0000 5.3274
5.3274 5.3274 0.0000
Ba Li Mn
4 1 1
Cartesian
4.0038 4.0038 4.0038
6.6511 6.6511 4.0038
6.6511 4.0038 6.6511
4.0038 6.6511 6.6511
0.0000 0.0000 0.0000
7.9912 7.9912 7.9912
```

The calculation puts the total energy at -2.404 eV per atom.

=====

Entry 17:
VASP calculation (PBE) on an optimized crystal structure of BaLiMn2.

Geometry as POSCAR:
```
BaLiMn2
1.0
0.0000 3.6664 3.6664
3.6664 0.0000 3.6664
3.6664 3.6664 0.0000
Ba Li Mn
1 1 2
Cartesian
0.0000 0.0000 0.0000
1.8332 1.8332 1.8332
3.6664 3.6664 3.6664
5.4996 5.4996 5.4996
```

The calculation puts the total energy at -4.844 eV per atom.

=====

Entry 18:
VASP calculation (PBE) on an optimized crystal structure of BaLi4Mn.

Geometry as POSCAR:
```
BaLi4Mn
1.0
0.0000 4.1837 4.1837
4.1837 0.0000 4.1837
4.1837 4.1837 0.0000
Ba Li Mn
1 4 1
Cartesian
0.0000 0.0000 0.0000
5.1961 3.1714 3.1714
3.1714 5.1961 3.1714
3.1714 3.1714 5.1961
5.1961 5.1961 5.1961
2.0919 2.0919 2.0919
```

The calculation puts the total energy at -2.855 eV per atom.

=====

Entry 19:
VASP calculation (PBE) on an optimized crystal structure of BaLiMn2.

Geometry as POSCAR:
```
BaLiMn2
1.0
1.6771 0.9682 9.8432
-1.6771 0.9682 9.8432
0.0000 -1.9365 9.8432
Ba Li Mn
1 1 2
Cartesian
0.0000 0.0000 0.0000
0.0000 0.0000 14.7648
0.0000 0.0000 7.0140
0.0000 0.0000 22.5156
```

The calculation puts the total energy at -4.638 eV per atom.

=====

Entry 20:
VASP calculation (PBE) on an optimized crystal structure of BaLiMn2.

Geometry as POSCAR:
```
BaLiMn2
1.0
-2.5406 2.5406 9.2674
2.5406 -2.5406 9.2674
2.5406 2.5406 -9.2674
Ba Li Mn
2 2 4
Cartesian
2.5406 1.2703 2.3168
0.0000 1.2703 6.9505
2.5406 -1.2703 6.9505
0.0000 3.8109 2.3168
0.0000 0.0000 0.0000
1.2703 1.2703 -4.6337
1.2703 -1.2703 4.6337
0.0000 2.5406 0.0000
```

The calculation puts the total energy at -4.742 eV per atom.

=====

| no. | D(E_F) (states/eV/atom) |
| --- | --- |
| 1 | 0.56 |
| 2 | 1.10 |
| 3 | 1.13 |
| 4 | 0.55 |
| 5 | 0.79 |
| 6 | 1.19 |
| 7 | 0.57 |
| 8 | 0.79 |
| 9 | 0.83 |
| 10 | 1.42 |
| 11 | 0.73 |
| 12 | 0.71 |
| 13 | 1.04 |
| 14 | 0.94 |
| 15 | 0.89 |
| 16 | 1.88 |
| 17 | 1.27 |
| 18 | 0.99 |
| 19 | 1.18 |
| 20 | 1.51 |